## AlSb2TeH (PBE-GGA)

Data for an optimized crystal structure of AlSb2TeH.

Properties
As for the space-group type: P4/mmm. The energy above the most stable polymorph in this dataset comes out at 412.0 meV per atom.

Cell lengths 5.3059, 5.3059, 5.4382 Å; angles 90.00, 90.00, 90.00 degrees
Atoms (fractional coordinates):
Sb 0.0000 0.5000 0.0000
Te 0.0000 0.0000 0.5000
Sb 0.5000 0.0000 0.0000
H 0.5000 0.5000 0.5000
Al 0.0000 0.0000 0.0000